This record from the Alexandria database describes a relaxed Er7In4Sn crystal. The functional is GGA-PBE.

```
12
Lattice="5.673 0.000 0.000 2.837 8.784 -0.038 2.837 0.316 7.148" Properties=species:S:1:pos:R:3 pbc="T T T"
Er 2.837 6.028 1.253
Er 5.673 5.423 5.144
Er 8.510 7.813 3.978
Er 2.837 1.287 3.132
Er 8.510 3.072 5.858
Er 2.837 0.000 0.000
Er 5.673 3.677 1.966
In 5.673 2.194 4.606
In 2.837 3.028 0.490
In 8.510 6.072 6.620
In 5.673 6.906 2.505
Sn 0.000 0.000 0.000
```

Density of states at the Fermi level = 9.22 states/eV/f.u.
Symmetry = C2/m (12)
VASP energy = -4.082 eV per atom
Energy of formation = -0.17 eV per atom